(1)
Computed, not measured: an optimized crystal structure of Cs2TlHgSb at the PBE level of DFT.

Cell and atoms, written as extended XYZ:
```
5
Lattice="-2.518 2.260 6.706 -5.353 -5.263 -0.236 3.708 -3.892 2.704" Properties=species:S:1:pos:R:3 pbc="T T T"
Hg -2.082 -3.448 4.587
Cs -2.677 -2.632 -0.118
Cs -1.259 1.130 3.353
Tl 1.854 -1.946 1.352
Sb 0.000 0.000 0.000
```

Properties
The energy above the most stable polymorph in this dataset is 212 meV per atom. Its space group is P4/mmm, No. 123.

***

(2)
Computed, not measured: an optimized crystal structure of BeHg2P at the PBE level of DFT.

Cell and atoms, written as extended XYZ:
```
4
Lattice="2.804 1.609 3.464 -1.624 3.242 3.050 -0.864 -1.204 4.500" Properties=species:S:1:pos:R:3 pbc="T T T"
Hg 0.079 0.912 2.753
Hg 0.237 2.735 8.260
P 0.158 1.824 5.507
Be 0.000 0.000 0.000
```

Properties
The calculated formation energy is 750 meV per atom. The energy above the most stable polymorph in this dataset is 725 meV per atom. Its space group is Fm-3m, No. 225.

***

(3)
Computed, not measured: an optimized crystal structure of PmHoTlNi at the PBE level of DFT.

Cell and atoms, written as extended XYZ:
```
4
Lattice="-4.045 1.381 -2.913 -3.795 -3.390 -0.930 -4.647 0.659 2.173" Properties=species:S:1:pos:R:3 pbc="T T T"
Pm -6.243 -0.675 -0.835
Tl -9.365 -1.012 -1.253
Ho 0.000 0.000 0.000
Ni -3.122 -0.337 -0.418
```

Properties
The calculated formation energy is -218 meV per atom. Its space group is F-43m, No. 216.

***

(4)
Computed, not measured: an optimized crystal structure of AlCr2As at the PBE level of DFT.

Cell and atoms, written as extended XYZ:
```
4
Lattice="4.766 0.002 0.009 1.622 4.481 -0.009 -2.663 -2.998 2.575" Properties=species:S:1:pos:R:3 pbc="T T T"
Cr 3.100 2.176 0.000
Cr 0.094 0.066 0.000
As 1.077 1.862 1.283
Al 2.648 -0.378 1.292
```

Properties
The calculated formation energy is 143 meV per atom. The energy above the most stable polymorph in this dataset is 197 meV per atom. Its space group is Immm, No. 71.